No. 1
The following is a DFT calculation (GGA-PBE) of an optimized crystal structure of Ca3ScRu.

For the spin magnetization, the calculation gives 5.1 Bohr magnetons per cell. Its total energy is -13.95 eV per cell. Its crystal system is cubic.

It has space group Pm-3m (No. 221), with a = 5.6101 Å, b = 5.6101 Å, c = 5.6101 Å, α = 90.00°, β = 90.00° and γ = 90.00°. Symmetry generates all atoms from Ca at (0.0000, 0.0000, 0.5000), Sc at (0.0000, 0.0000, 0.0000) and Ru at (0.5000, 0.5000, 0.5000).


No. 2
The following is a DFT calculation (GGA-PBE) of an optimized crystal structure of AlOs2Pt.

For the spin magnetization, the calculation gives 0.0 Bohr magnetons per cell. Its total energy is -65.39 eV per cell. Its crystal system is monoclinic.

It has space group C2/m (No. 12), with a = 9.1773 Å, b = 2.7521 Å, c = 4.7201 Å, α = 90.00°, β = 102.82° and γ = 90.00°. Symmetry generates all atoms from Al at (0.0000, 0.0000, 0.0000), Os at (0.2400, 0.5000, 0.2419) and Pt at (0.0000, 0.5000, 0.5000).


No. 3
The following is a DFT calculation (GGA-PBE) of an optimized crystal structure of K2ZnBi.

For the spin magnetization, the calculation gives 0.0 Bohr magnetons per cell. Its total energy is -16.26 eV per cell. Its crystal system is monoclinic.

It has space group Cm (No. 8), with a = 11.9693 Å, b = 5.9747 Å, c = 5.5666 Å, α = 90.00°, β = 117.28° and γ = 90.00°. Symmetry generates all atoms from K at (0.0000, 0.0000, 0.0000), K at (0.1367, 0.5000, 0.6338), Zn at (0.3187, 0.0000, 0.1123) and Bi at (0.3185, 0.0000, 0.6141).